No. 1
DFT (PBE-GGA) results for a relaxed Pm2ScAl3 crystal.

Geometry as POSCAR:
```
Pm2ScAl3
1.0
3.576 0.000 0.000
0.000 3.576 0.000
0.000 0.000 10.919
Pm Sc Al
2 1 3
direct
0.000 0.000 0.178
0.000 0.000 0.822
0.000 0.000 0.500
0.500 0.500 0.000
0.500 0.500 0.361
0.500 0.500 0.639
```

## Properties
* D(E_F): 2.73 states/eV per cell
* theoretical density: 4.95 g/cm3
* calculated formation energy: -9.0 kcal/mol of atoms
* volume: 23.273 Å³ per atom
* relative energy among the computed polymorphs: 32.2 meV per atom
* magnetization: 0.0000 μB/atom
* space-group type: P4/mmm, No. 123

***

No. 2
DFT (PBE-GGA) results for a relaxed Nd3AlTl3S8 crystal.

Geometry as POSCAR:
```
Nd3AlTl3S8
1.0
7.046 -4.068 0.000
7.046 4.068 0.000
-4.708 0.000 7.332
Nd Al Tl S
3 1 3 8
direct
0.000 0.000 0.000
0.000 0.500 0.000
0.500 0.000 0.000
0.500 0.500 0.000
0.000 0.500 0.500
0.500 0.000 0.500
0.500 0.500 0.500
0.237 0.237 0.211
0.268 0.711 0.191
0.289 0.289 0.809
0.289 0.732 0.809
0.711 0.268 0.191
0.711 0.711 0.191
0.732 0.289 0.809
0.763 0.763 0.789
```

## Properties
* D(E_F): 5.46 states/eV per cell
* theoretical density: 5.25 g/cm3
* volume: 28.021 Å³ per atom
* formation energy from raw total energies: -1.238 eV/atom
* magnetization: 0.0000 μB/atom
* space-group type: C2/m, No. 12

***

No. 3
DFT (PBE-GGA) results for a relaxed LaTmLu crystal.

Geometry as POSCAR:
```
LaTmLu
1.0
-1.787 1.787 7.564
1.787 -1.787 7.564
1.787 1.787 -7.564
La Tm Lu
1 1 1
direct
0.000 0.000 0.000
0.671 0.671 0.000
0.329 0.329 0.000
```

## Properties
* D(E_F): 4.59 states/eV per cell
* theoretical density: 8.30 g/cm3
* calculated formation energy: 1.0 kcal/mol of atoms
* volume: 32.195 Å³ per atom
* relative energy among the computed polymorphs: 0.0 meV per atom
* magnetization: 0.0000 μB/atom
* space-group type: I4mm, No. 107

***

No. 4
DFT (PBE-GGA) results for a relaxed Ni3AgPt crystal.

Geometry as POSCAR:
```
Ni3AgPt
1.0
4.603 0.000 0.000
0.000 4.603 0.000
0.000 0.000 4.603
Ni Ag Pt
3 1 1
direct
0.000 0.000 0.500
0.000 0.500 0.000
0.500 0.000 0.000
0.500 0.500 0.500
0.000 0.000 0.000
```

## Properties
* D(E_F): 8.31 states/eV per cell
* theoretical density: 8.16 g/cm3
* calculated formation energy: 24.9 kcal/mol of atoms
* volume: 19.503 Å³ per atom
* relative energy among the computed polymorphs: 0.0 meV per atom
* magnetization: 0.6237 μB/atom
* space-group type: Pm-3m, No. 221

***

No. 5
DFT (PBE-GGA) results for a relaxed Na2CaGaH crystal.

Geometry as POSCAR:
```
Na2CaGaH
1.0
4.698 0.000 0.000
0.000 4.698 0.000
0.000 0.000 4.892
Na Ca Ga H
2 1 1 1
direct
0.000 0.500 0.000
0.500 0.000 0.000
0.000 0.000 0.500
0.500 0.500 0.500
0.000 0.000 0.000
```

## Properties
* D(E_F): 3.05 states/eV per cell
* theoretical density: 2.41 g/cm3
* volume: 21.593 Å³ per atom
* VASP energy: -2.340 eV per atom
* magnetization: 0.0000 μB/atom
* space-group type: P4/mmm, No. 123

***

No. 6
DFT (PBE-GGA) results for a relaxed La2Pu3Ge4 crystal.

Geometry as POSCAR:
```
La2Pu3Ge4
1.0
7.951 0.000 0.000
0.000 7.993 0.000
-2.265 0.000 7.279
La Pu Ge
4 6 8
direct
0.189 0.177 0.069
0.189 0.323 0.569
0.811 0.677 0.431
0.811 0.823 0.931
0.253 0.684 0.247
0.253 0.816 0.747
0.500 0.000 0.500
0.500 0.500 0.000
0.747 0.184 0.253
0.747 0.316 0.753
0.074 0.531 0.867
0.074 0.969 0.367
0.490 0.117 0.878
0.490 0.383 0.378
0.510 0.617 0.622
0.510 0.883 0.122
0.926 0.031 0.633
0.926 0.469 0.133
```

## Properties
* D(E_F): 42.39 states/eV per cell
* theoretical density: 9.34 g/cm3
* calculated formation energy: -14.2 kcal/mol of atoms
* volume: 25.697 Å³ per atom
* magnetization: 1.9950 μB/atom
* space-group type: P2_1/c, No. 14

***

No. 7
DFT (PBE-GGA) results for a relaxed MgSc4Ga2 crystal.

Geometry as POSCAR:
```
MgSc4Ga2
1.0
7.482 0.000 0.000
0.000 5.984 0.000
-2.907 0.000 7.012
Mg Sc Ga
2 8 4
direct
0.172 0.250 0.020
0.828 0.750 0.980
0.011 0.250 0.384
0.224 0.750 0.345
0.397 0.003 0.747
0.397 0.497 0.747
0.603 0.503 0.253
0.603 0.997 0.253
0.776 0.250 0.655
0.989 0.750 0.616
0.260 0.750 0.993
0.383 0.250 0.416
0.617 0.750 0.584
0.740 0.250 0.007
```

## Properties
* D(E_F): 16.83 states/eV per cell
* theoretical density: 3.63 g/cm3
* calculated formation energy: -6.2 kcal/mol of atoms
* volume: 22.427 Å³ per atom
* magnetization: 0.0523 μB/atom
* space-group type: P2_1/m, No. 11

***

No. 8
DFT (PBE-GGA) results for a relaxed MgIn2Bi crystal.

Geometry as POSCAR:
```
MgIn2Bi
1.0
2.366 1.366 6.163
-2.366 1.366 6.163
0.000 -2.732 6.163
Mg In Bi
1 2 1
direct
0.000 0.000 0.000
0.403 0.403 0.403
0.591 0.591 0.591
0.828 0.828 0.828
```

## Properties
* D(E_F): 1.62 states/eV per cell
* theoretical density: 6.43 g/cm3
* calculated formation energy: 1.1 kcal/mol of atoms
* volume: 29.877 Å³ per atom
* relative energy among the computed polymorphs: 88.8 meV per atom
* magnetization: 0.0000 μB/atom
* space-group type: R3m, No. 160

***

No. 9
DFT (PBE-GGA) results for a relaxed LiLa2ZrO crystal.

Geometry as POSCAR:
```
LiLa2ZrO
1.0
5.277 0.000 0.000
0.000 5.277 0.000
0.000 0.000 4.307
Li La Zr O
1 2 1 1
direct
0.000 0.000 0.000
0.000 0.500 0.500
0.500 0.000 0.500
0.500 0.500 0.000
0.500 0.500 0.500
```

## Properties
* D(E_F): 4.54 states/eV per cell
* theoretical density: 5.43 g/cm3
* volume: 23.990 Å³ per atom
* formation energy from raw total energies: -0.997 eV/atom
* magnetization: 0.1390 μB/atom
* space-group type: P4/mmm, No. 123

***

No. 10
DFT (PBE-GGA) results for a relaxed Pr8Ru3I3N crystal.

Geometry as POSCAR:
```
Pr8Ru3I3N
1.0
7.079 -4.087 0.000
7.079 4.087 0.000
-4.726 0.000 8.327
Pr Ru I N
8 3 3 1
direct
0.213 0.213 0.671
0.213 0.745 0.671
0.255 0.787 0.329
0.269 0.269 0.308
0.731 0.731 0.692
0.745 0.213 0.671
0.787 0.255 0.329
0.787 0.787 0.329
0.000 0.500 0.500
0.500 0.000 0.500
0.500 0.500 0.500
0.000 0.000 0.000
0.000 0.500 0.000
0.500 0.000 0.000
0.000 0.000 0.500
```

## Properties
* D(E_F): 9.40 states/eV per cell
* theoretical density: 6.29 g/cm3
* volume: 32.122 Å³ per atom
* formation energy from raw total energies: -0.608 eV/atom
* magnetization: 0.0307 μB/atom
* space-group type: C2/m, No. 12

***

No. 11
DFT (PBE-GGA) results for a relaxed Pr3Al3Ag8 crystal.

Geometry as POSCAR:
```
Pr3Al3Ag8
1.0
-2.309 5.013 6.533
2.309 -5.013 6.533
2.309 5.013 -6.533
Pr Al Ag
3 3 8
direct
0.000 0.000 0.000
0.303 0.303 0.000
0.697 0.697 0.000
0.303 0.500 0.803
0.500 0.000 0.500
0.697 0.500 0.197
0.021 0.661 0.360
0.167 0.877 0.290
0.300 0.661 0.640
0.413 0.123 0.290
0.587 0.877 0.710
0.700 0.339 0.360
0.833 0.123 0.710
0.979 0.339 0.640
```

## Properties
* D(E_F): 7.56 states/eV per cell
* theoretical density: 7.50 g/cm3
* calculated formation energy: -5.8 kcal/mol of atoms
* volume: 21.602 Å³ per atom
* magnetization: 0.0000 μB/atom
* space-group type: Immm, No. 71

***

No. 12
DFT (PBE-GGA) results for a relaxed KHg2PtBr8 crystal.

Geometry as POSCAR:
```
KHg2PtBr8
1.0
6.568 0.000 0.000
0.785 7.242 0.000
0.720 3.167 9.133
K Hg Pt Br
1 2 1 8
direct
0.000 0.000 0.000
0.433 0.455 0.313
0.567 0.545 0.687
0.000 0.000 0.500
0.175 0.207 0.272
0.221 0.090 0.661
0.262 0.684 0.503
0.457 0.736 0.068
0.543 0.264 0.932
0.738 0.316 0.497
0.779 0.910 0.339
0.825 0.793 0.728
```

## Properties
* D(E_F): 3.00 states/eV per cell
* theoretical density: 4.87 g/cm3
* volume: 36.200 Å³ per atom
* formation energy from raw total energies: -0.539 eV/atom
* magnetization: 0.0000 μB/atom
* space-group type: P-1, No. 2

***

No. 13
DFT (PBE-GGA) results for a relaxed LiPmBiAs crystal.

Geometry as POSCAR:
```
LiPmBiAs
1.0
0.000 3.696 3.696
3.696 0.000 3.696
3.696 3.696 0.000
Li Pm Bi As
1 1 1 1
direct
0.000 0.000 0.000
0.500 0.500 0.500
0.750 0.750 0.750
0.250 0.250 0.250
```

## Properties
* D(E_F): 4.17 states/eV per cell
* theoretical density: 7.17 g/cm3
* calculated formation energy: -12.1 kcal/mol of atoms
* volume: 25.249 Å³ per atom
* magnetization: 0.0000 μB/atom
* space-group type: F-43m, No. 216

***

No. 14
DFT (PBE-GGA) results for a relaxed TbZn3Cu8 crystal.

Geometry as POSCAR:
```
TbZn3Cu8
1.0
4.962 0.000 0.000
-2.481 4.297 0.000
0.000 0.000 8.030
Tb Zn Cu
1 3 8
direct
0.000 0.000 0.000
0.000 0.000 0.394
0.667 0.333 0.490
0.667 0.333 0.831
0.165 0.330 0.679
0.165 0.835 0.679
0.333 0.667 0.435
0.333 0.667 0.936
0.504 0.007 0.196
0.504 0.496 0.196
0.670 0.835 0.679
0.993 0.496 0.196
```

## Properties
* D(E_F): 5.93 states/eV per cell
* theoretical density: 8.37 g/cm3
* calculated formation energy: -1.9 kcal/mol of atoms
* volume: 14.270 Å³ per atom
* magnetization: 0.0000 μB/atom
* space-group type: P3m1, No. 156

***

No. 15
DFT (PBE-GGA) results for a relaxed HfRe2PdPt crystal.

Geometry as POSCAR:
```
HfRe2PdPt
1.0
4.638 0.000 0.000
0.000 4.638 0.000
0.000 0.000 4.815
Hf Re Pd Pt
1 2 1 1
direct
0.000 0.000 0.000
0.000 0.500 0.500
0.500 0.000 0.500
0.500 0.500 0.500
0.500 0.500 0.000
```

## Properties
* D(E_F): 8.37 states/eV per cell
* theoretical density: 13.67 g/cm3
* calculated formation energy: 38.8 kcal/mol of atoms
* volume: 20.713 Å³ per atom
* magnetization: 0.0000 μB/atom
* space-group type: P4/mmm, No. 123

***

No. 16
DFT (PBE-GGA) results for a relaxed GaCuBr3 crystal.

Geometry as POSCAR:
```
GaCuBr3
1.0
5.227 0.000 0.000
0.000 5.227 0.000
0.000 0.000 5.227
Ga Cu Br
1 1 3
direct
0.000 0.000 0.000
0.500 0.500 0.500
0.000 0.000 0.500
0.000 0.500 0.000
0.500 0.000 0.000
```

## Properties
* D(E_F): 1.52 states/eV per cell
* theoretical density: 4.34 g/cm3
* volume: 28.559 Å³ per atom
* relative energy among the computed polymorphs: 325.8 meV per atom
* formation energy from raw total energies: 0.027 eV/atom
* magnetization: 0.0000 μB/atom
* space-group type: Pm-3m, No. 221

***

No. 17
DFT (PBE-GGA) results for a relaxed Ca2Pr4Dy crystal.

Geometry as POSCAR:
```
Ca2Pr4Dy
1.0
-2.909 2.909 9.048
2.909 -2.909 9.048
2.909 2.909 -9.048
Ca Pr Dy
2 4 1
direct
0.126 0.126 0.000
0.874 0.874 0.000
0.000 0.500 0.500
0.327 0.327 0.000
0.500 0.000 0.500
0.673 0.673 0.000
0.500 0.500 0.000
```

## Properties
* D(E_F): 12.46 states/eV per cell
* theoretical density: 4.37 g/cm3
* calculated formation energy: 13.1 kcal/mol of atoms
* volume: 43.737 Å³ per atom
* relative energy among the computed polymorphs: 460.5 meV per atom
* magnetization: 0.0919 μB/atom
* space-group type: I4/mmm, No. 139

***

No. 18
DFT (PBE-GGA) results for a relaxed SrSmIrO6 crystal.

Geometry as POSCAR:
```
SrSmIrO6
1.0
5.697 0.000 0.000
-2.848 4.933 0.000
0.000 0.000 10.176
Sr Sm Ir O
2 2 2 12
direct
0.000 0.000 0.000
0.000 0.000 0.500
0.333 0.667 0.250
0.667 0.333 0.750
0.333 0.667 0.750
0.667 0.333 0.250
0.051 0.391 0.643
0.051 0.660 0.857
0.340 0.391 0.857
0.340 0.949 0.643
0.391 0.051 0.143
0.391 0.340 0.357
0.609 0.660 0.643
0.609 0.949 0.857
0.660 0.051 0.357
0.660 0.609 0.143
0.949 0.340 0.143
0.949 0.609 0.357
```

## Properties
* D(E_F): 10.21 states/eV per cell
* theoretical density: 6.11 g/cm3
* volume: 15.888 Å³ per atom
* formation energy from raw total energies: -1.866 eV/atom
* magnetization: 0.2261 μB/atom
* space-group type: P-31c, No. 163

***

No. 19
DFT (PBE-GGA) results for a relaxed Tb2DyGa2 crystal.

Geometry as POSCAR:
```
Tb2DyGa2
1.0
6.267 -1.816 0.000
6.267 1.816 0.000
-1.281 0.000 5.774
Tb Dy Ga
2 1 2
direct
0.136 0.136 0.071
0.864 0.864 0.929
0.500 0.500 0.500
0.201 0.201 0.612
0.799 0.799 0.388
```

## Properties
* D(E_F): 6.19 states/eV per cell
* theoretical density: 7.83 g/cm3
* calculated formation energy: -8.5 kcal/mol of atoms
* volume: 26.288 Å³ per atom
* relative energy among the computed polymorphs: 148.6 meV per atom
* magnetization: 0.0001 μB/atom
* space-group type: C2/m, No. 12

***

No. 20
DFT (PBE-GGA) results for a relaxed CsK2LiHg crystal.

Geometry as POSCAR:
```
CsK2LiHg
1.0
6.909 0.000 0.000
0.000 6.909 0.000
0.000 0.000 5.528
Cs K Li Hg
1 2 1 1
direct
0.000 0.000 0.000
0.000 0.500 0.500
0.500 0.000 0.500
0.500 0.500 0.500
0.500 0.500 0.000
```

## Properties
* D(E_F): 3.54 states/eV per cell
* theoretical density: 2.63 g/cm3
* calculated formation energy: 0.3 kcal/mol of atoms
* volume: 52.782 Å³ per atom
* relative energy among the computed polymorphs: 37.5 meV per atom
* magnetization: 0.0000 μB/atom
* space-group type: P4/mmm, No. 123